DFT (PBE-GGA) results for an optimized crystal structure of Ag10Te.

Unit cell a=4.9671 b=4.9671 c=30.3857 alpha=90.77 beta=90.77 gamma=49.47
Closest atoms and distances in Å follow each position.
Positions (direct):
Ag (0.0480, 0.0480, 0.1999)  12 Ag 2.88-3.04
Ag (0.0492, 0.0492, 0.8930)  12 Ag 2.88-2.95
Ag (0.1387, 0.1387, 0.2968)  3 Te 2.84-2.87, 6 Ag 2.91-3.06
Ag (0.1500, 0.1500, 0.9850)  12 Ag 2.87-2.95
Ag (0.2515, 0.2515, 0.0769)  12 Ag 2.87-2.95
Ag (0.2556, 0.2556, 0.7697)  11 Ag 2.88-3.06, 1 Te 2.97
Ag (0.3492, 0.3492, 0.8615)  12 Ag 2.87-2.95
Ag (0.3505, 0.3505, 0.1689)  12 Ag 2.87-2.96
Ag (0.4435, 0.4435, 0.2622)  9 Ag 2.90-2.97, 2 Te 2.97
Ag (0.4491, 0.4491, 0.9538)  12 Ag 2.87-2.94
Ag (0.5509, 0.5509, 0.0462)  12 Ag 2.87-2.94
Ag (0.5565, 0.5565, 0.7378)  9 Ag 2.90-2.97, 2 Te 2.97
Ag (0.6495, 0.6495, 0.8311)  12 Ag 2.87-2.96
Ag (0.6508, 0.6508, 0.1385)  12 Ag 2.87-2.95
Ag (0.7444, 0.7444, 0.2303)  11 Ag 2.88-3.06, 1 Te 2.97
Ag (0.7485, 0.7485, 0.9231)  12 Ag 2.87-2.95
Ag (0.8500, 0.8500, 0.0150)  12 Ag 2.87-2.95
Ag (0.8613, 0.8613, 0.7032)  3 Te 2.84-2.87, 6 Ag 2.91-3.06
Ag (0.9508, 0.9508, 0.1070)  12 Ag 2.88-2.95
Ag (0.9520, 0.9520, 0.8001)  12 Ag 2.88-3.04
Te (0.1608, 0.1608, 0.6755)  6 Ag 2.84-2.97
Te (0.8392, 0.8392, 0.3245)  6 Ag 2.84-2.97

Output
As for the total energy: -2.852 eV per atom.

=====

DFT (PBE-GGA) results for an optimized crystal structure of Ag15Te.

Unit cell a=4.1132 b=4.1257 c=45.5297 alpha=90.00 beta=90.00 gamma=90.00
Closest atoms and distances in Å follow each position.
Positions (direct):
Ag (0.2500, 0.0000, 0.0223)  12 Ag 2.89-2.91
Ag (0.2500, 0.0000, 0.1115)  12 Ag 2.89-2.91
Ag (0.2500, 0.0000, 0.2018)  12 Ag 2.91-2.94
Ag (0.2500, 0.0000, 0.2938)  10 Ag 2.91-2.98, 2 Te 3.14
Ag (0.2500, 0.0000, 0.6589)  4 Te 2.92, 4 Ag 2.98
Ag (0.2500, 0.0000, 0.7521)  12 Ag 2.91-2.94
Ag (0.2500, 0.0000, 0.8436)  12 Ag 2.90-2.92
Ag (0.2500, 0.0000, 0.9330)  12 Ag 2.89-2.91
Ag (0.2500, 0.5000, 0.0669)  12 Ag 2.89-2.91
Ag (0.2500, 0.5000, 0.1564)  12 Ag 2.90-2.92
Ag (0.2500, 0.5000, 0.2477)  12 Ag 2.91-2.94
Ag (0.2500, 0.5000, 0.7062)  10 Ag 2.91-2.98, 2 Te 3.13
Ag (0.2500, 0.5000, 0.7982)  12 Ag 2.91-2.94
Ag (0.2500, 0.5000, 0.8884)  12 Ag 2.89-2.91
Ag (0.2500, 0.5000, 0.9776)  12 Ag 2.89-2.91
Ag (0.7500, 0.0000, 0.0670)  12 Ag 2.89-2.91
Ag (0.7500, 0.0000, 0.1564)  12 Ag 2.90-2.92
Ag (0.7500, 0.0000, 0.2479)  12 Ag 2.91-2.94
Ag (0.7500, 0.0000, 0.3411)  4 Te 2.92, 4 Ag 2.98
Ag (0.7500, 0.0000, 0.7062)  10 Ag 2.91-2.98, 2 Te 3.14
Ag (0.7500, 0.0000, 0.7982)  12 Ag 2.91-2.94
Ag (0.7500, 0.0000, 0.8885)  12 Ag 2.89-2.91
Ag (0.7500, 0.0000, 0.9777)  12 Ag 2.89-2.91
Ag (0.7500, 0.5000, 0.0224)  12 Ag 2.89-2.91
Ag (0.7500, 0.5000, 0.1116)  12 Ag 2.89-2.91
Ag (0.7500, 0.5000, 0.2018)  12 Ag 2.91-2.94
Ag (0.7500, 0.5000, 0.2938)  10 Ag 2.91-2.98, 2 Te 3.13
Ag (0.7500, 0.5000, 0.7523)  12 Ag 2.91-2.94
Ag (0.7500, 0.5000, 0.8436)  12 Ag 2.90-2.92
Ag (0.7500, 0.5000, 0.9331)  12 Ag 2.89-2.91
Te (0.2500, 0.5000, 0.3458)  8 Ag 2.92-3.14
Te (0.7500, 0.5000, 0.6542)  8 Ag 2.92-3.14

Output
As for the total energy: -2.834 eV per atom.

=====

DFT (PBE-GGA) results for an optimized crystal structure of AgTe3.

Unit cell a=5.3111 b=5.3111 c=5.3111 alpha=109.54 beta=109.54 gamma=109.54
Closest atoms and distances in Å follow each position.
Positions (direct):
Ag (0.0000, 0.0000, 0.0000)  6 Te 3.04-3.09
Te (0.4921, 0.4921, 0.9934)  2 Ag 3.04-3.09, 4 Te 3.06
Te (0.4921, 0.9934, 0.4921)  2 Ag 3.04-3.09, 4 Te 3.06
Te (0.9934, 0.4921, 0.4921)  2 Ag 3.04-3.09, 4 Te 3.06

Output
As for the total energy: -3.084 eV per atom.

=====

DFT (PBE-GGA) results for an optimized crystal structure of AgTe.

Unit cell a=4.4432 b=4.4432 c=5.8679 alpha=90.00 beta=90.00 gamma=120.00
Closest atoms and distances in Å follow each position.
Positions (direct):
Ag (0.0000, 0.0000, 0.0000)  2 Ag 2.93, 6 Te 2.96
Ag (0.0000, 0.0000, 0.5000)  2 Ag 2.93, 6 Te 2.96
Te (0.3333, 0.6667, 0.2500)  6 Ag 2.96
Te (0.6667, 0.3333, 0.7500)  6 Ag 2.96

Output
As for the total energy: -2.982 eV per atom.

=====

DFT (PBE-GGA) results for an optimized crystal structure of AgTe.

Unit cell a=4.6963 b=4.6963 c=19.1764 alpha=90.00 beta=90.00 gamma=122.02
Closest atoms and distances in Å follow each position.
Positions (direct):
Ag (0.0634, 0.9366, 0.7500)  3 Te 2.68-2.69
Ag (0.1290, 0.8710, 0.1122)  4 Te 2.77-2.87, 1 Ag 3.08
Ag (0.1290, 0.8710, 0.3878)  4 Te 2.77-2.87, 1 Ag 3.08
Ag (0.8710, 0.1290, 0.6122)  4 Te 2.77-2.87, 1 Ag 3.08
Ag (0.8710, 0.1290, 0.8878)  4 Te 2.77-2.87, 1 Ag 3.08
Ag (0.9366, 0.0634, 0.2500)  3 Te 2.68-2.69
Te (0.2638, 0.7362, 0.2500)  5 Ag 2.68-2.87
Te (0.4629, 0.5371, 0.0706)  3 Ag 2.77-2.86, 1 Te 2.78
Te (0.4629, 0.5371, 0.4294)  3 Ag 2.77-2.86, 1 Te 2.78
Te (0.5371, 0.4629, 0.5706)  3 Ag 2.77-2.86, 1 Te 2.78
Te (0.5371, 0.4629, 0.9294)  3 Ag 2.77-2.86, 1 Te 2.78
Te (0.7362, 0.2638, 0.7500)  5 Ag 2.68-2.87

Output
As for the total energy: -3.027 eV per atom.

=====

DFT (PBE-GGA) results for an optimized crystal structure of AgTe.

Unit cell a=3.6485 b=3.6485 c=4.2397 alpha=90.00 beta=90.00 gamma=120.00
Closest atoms and distances in Å follow each position.
Positions (direct):
Ag (0.0000, 0.0000, 0.0000)  6 Te 2.99
Te (0.6667, 0.3333, 0.5000)  6 Ag 2.99

Output
As for the total energy: -2.821 eV per atom.

=====

DFT (PBE-GGA) results for an optimized crystal structure of Ag2Te.

Unit cell a=8.1077 b=4.4823 c=9.0318 alpha=90.00 beta=123.41 gamma=90.00
Closest atoms and distances in Å follow each position.
Positions (direct):
Ag (0.0209, 0.1504, 0.1494)  6 Ag 2.87-3.12, 4 Te 2.90-3.04
Ag (0.0209, 0.3496, 0.6494)  6 Ag 2.87-3.12, 4 Te 2.90-3.04
Ag (0.3295, 0.6615, 0.3372)  4 Te 2.85-3.06, 4 Ag 2.91-3.12
Ag (0.3295, 0.8385, 0.8372)  4 Te 2.85-3.06, 4 Ag 2.91-3.12
Ag (0.6705, 0.1615, 0.1628)  4 Te 2.85-3.06, 4 Ag 2.91-3.12
Ag (0.6705, 0.3385, 0.6628)  4 Te 2.85-3.06, 4 Ag 2.91-3.12
Ag (0.9791, 0.6504, 0.3506)  6 Ag 2.87-3.12, 4 Te 2.90-3.04
Ag (0.9791, 0.8496, 0.8506)  6 Ag 2.87-3.12, 4 Te 2.90-3.04
Te (0.2766, 0.1538, 0.5334)  8 Ag 2.85-3.06
Te (0.2766, 0.3462, 0.0334)  8 Ag 2.85-3.06
Te (0.7234, 0.6538, 0.9666)  8 Ag 2.85-3.06
Te (0.7234, 0.8462, 0.4666)  8 Ag 2.85-3.06

Output
As for the total energy: -2.993 eV per atom.

=====

DFT (PBE-GGA) results for an optimized crystal structure of Ag15Te.

Unit cell a=5.7896 b=2.9223 c=45.1504 alpha=90.00 beta=90.07 gamma=90.00
Closest atoms and distances in Å follow each position.
Positions (direct):
Ag (0.1218, 0.2500, 0.2024)  10 Ag 2.86-2.93
Ag (0.1243, 0.2500, 0.3862)  12 Ag 2.89-2.92
Ag (0.1249, 0.2500, 0.4772)  12 Ag 2.89-2.92
Ag (0.1252, 0.2500, 0.5683)  12 Ag 2.89-2.92
Ag (0.1252, 0.2500, 0.6596)  12 Ag 2.89-2.92
Ag (0.1252, 0.2500, 0.7510)  12 Ag 2.89-2.93
Ag (0.1259, 0.2500, 0.2947)  12 Ag 2.88-2.93
Ag (0.3723, 0.7500, 0.7975)  10 Ag 2.86-2.93
Ag (0.3747, 0.7500, 0.2484)  12 Ag 2.89-2.93
Ag (0.3748, 0.7500, 0.3407)  12 Ag 2.89-2.92
Ag (0.3752, 0.7500, 0.4317)  12 Ag 2.89-2.92
Ag (0.3751, 0.7500, 0.5228)  12 Ag 2.89-2.92
Ag (0.3745, 0.7500, 0.6139)  12 Ag 2.89-2.92
Ag (0.3761, 0.7500, 0.1566)  6 Ag 2.92-2.93, 2 Te 2.94
Ag (0.3762, 0.7500, 0.7053)  12 Ag 2.88-2.93
Ag (0.6238, 0.2500, 0.2947)  12 Ag 2.88-2.93
Ag (0.6239, 0.2500, 0.8434)  6 Ag 2.92-2.93, 2 Te 2.94
Ag (0.6255, 0.2500, 0.3861)  12 Ag 2.89-2.92
Ag (0.6249, 0.2500, 0.4772)  12 Ag 2.89-2.92
Ag (0.6248, 0.2500, 0.5683)  12 Ag 2.89-2.92
Ag (0.6252, 0.2500, 0.6593)  12 Ag 2.89-2.92
Ag (0.6253, 0.2500, 0.7516)  12 Ag 2.89-2.93
Ag (0.6277, 0.2500, 0.2025)  10 Ag 2.86-2.93
Ag (0.8741, 0.7500, 0.7053)  12 Ag 2.88-2.93
Ag (0.8748, 0.7500, 0.2490)  12 Ag 2.89-2.93
Ag (0.8748, 0.7500, 0.3404)  12 Ag 2.89-2.92
Ag (0.8748, 0.7500, 0.4317)  12 Ag 2.89-2.92
Ag (0.8751, 0.7500, 0.5228)  12 Ag 2.89-2.92
Ag (0.8757, 0.7500, 0.6138)  12 Ag 2.89-2.92
Ag (0.8782, 0.7500, 0.7976)  10 Ag 2.86-2.93
Te (0.1235, 0.2500, 0.8548)  2 Te 2.92, 2 Ag 2.94
Te (0.8765, 0.7500, 0.1452)  2 Te 2.92, 2 Ag 2.94

Output
As for the total energy: -2.813 eV per atom.